(1)
# La3Zn4Cd4 | the Alexandria database | PBE | relaxed
# Volume ... 24.36 Å³/atom
# Crystal system ... orthorhombic
# Theoretical density ... 6.989 g/cm3
# Formation enthalpy at 0 K ... -0.301 eV/atom
data_La3Zn4Cd4
_symmetry_space_group_name_H-M 'I m m m'
_symmetry_Int_Tables_number 71
_symmetry_space_group_name_Hall '-I 2 2'
_cell_length_a 3.864
_cell_length_b 4.748
_cell_length_c 29.220
_cell_angle_alpha 90.00
_cell_angle_beta 90.00
_cell_angle_gamma 90.00
loop_
_atom_site_label
_atom_site_fract_x
_atom_site_fract_y
_atom_site_fract_z
La1 0.000 0.000 0.000
La2 0.000 0.500 0.144
Zn1 0.000 0.000 0.454
Zn2 0.000 0.500 0.313
Cd1 0.000 0.000 0.257
Cd2 0.000 0.500 0.406


(2)
# La4ZnCd | the Alexandria database | PBE | relaxed
# Volume ... 31.50 Å³/atom
# Crystal system ... tetragonal
# Theoretical density ... 6.444 g/cm3
# Formation enthalpy at 0 K ... -0.204 eV/atom
data_La4ZnCd
_symmetry_space_group_name_H-M 'P 4/m m m'
_symmetry_Int_Tables_number 123
_symmetry_space_group_name_Hall '-P 4 2'
_cell_length_a 3.857
_cell_length_b 3.857
_cell_length_c 12.706
_cell_angle_alpha 90.00
_cell_angle_beta 90.00
_cell_angle_gamma 90.00
loop_
_atom_site_label
_atom_site_fract_x
_atom_site_fract_y
_atom_site_fract_z
La1 0.000 0.000 0.139
La2 0.500 0.500 0.342
Zn1 0.500 0.500 0.000
Cd1 0.000 0.000 0.500


(3)
# La3ZnCd | the Alexandria database | PBE | relaxed
# Volume ... 37.33 Å³/atom
# Crystal system ... cubic
# Theoretical density ... 5.290 g/cm3
# Formation enthalpy at 0 K ... 0.166 eV/atom
data_La3ZnCd
_symmetry_space_group_name_H-M 'P m -3 m'
_symmetry_Int_Tables_number 221
_symmetry_space_group_name_Hall '-P 4 2 3'
_cell_length_a 5.715
_cell_length_b 5.715
_cell_length_c 5.715
_cell_angle_alpha 90.00
_cell_angle_beta 90.00
_cell_angle_gamma 90.00
loop_
_atom_site_label
_atom_site_fract_x
_atom_site_fract_y
_atom_site_fract_z
La1 0.000 0.000 0.500
Zn1 0.000 0.000 0.000
Cd1 0.500 0.500 0.500


(4)
# La5ZnCd2 | the Alexandria database | PBE | relaxed
# Volume ... 30.62 Å³/atom
# Crystal system ... tetragonal
# Theoretical density ... 6.674 g/cm3
# Formation enthalpy at 0 K ... -0.175 eV/atom
data_La5ZnCd2
_symmetry_space_group_name_H-M 'I 4/m m m'
_symmetry_Int_Tables_number 139
_symmetry_space_group_name_Hall '-I 4 2'
_cell_length_a 7.976
_cell_length_b 7.976
_cell_length_c 7.703
_cell_angle_alpha 90.00
_cell_angle_beta 90.00
_cell_angle_gamma 90.00
loop_
_atom_site_label
_atom_site_fract_x
_atom_site_fract_y
_atom_site_fract_z
La1 0.000 0.000 0.000
La2 0.250 0.250 0.250
Zn1 0.000 0.000 0.500
Cd1 0.000 0.500 0.000